1.
PrEr3Tm2Te6 (PBE, optimized geometry); formation energy from raw total energies = -1.24 eV/atom
1.0
4.2921 0.0000 0.0000
0.0000 8.7933 0.4787
-2.1461 -2.3593 9.1336
Te Er Tm Pr
6 3 2 1
Direct
0.3247 0.9055 0.6494
0.3313 0.4110 0.6626
0.9966 0.7363 0.9932
0.6753 0.0945 0.3506
0.0034 0.2637 0.0068
0.6687 0.5890 0.3374
0.1569 0.8392 0.3139
0.5000 0.5000 0.0000
0.8431 0.1608 0.6861
0.8368 0.6650 0.6735
0.1632 0.3350 0.3265
0.5000 0.0000 0.0000

=====

2.
Pr2ErTmTe5 (PBE, optimized geometry); formation energy from raw total energies = -0.83 eV/atom
1.0
5.4893 0.0000 0.0000
0.0000 5.4893 0.0000
0.0000 0.0000 11.4768
Te Pr Tm Er
5 2 1 1
Direct
0.5000 0.0000 0.5000
0.5000 0.5000 0.0000
0.0000 0.5000 0.5000
0.0000 0.0000 0.2454
0.0000 0.0000 0.7546
0.5000 0.5000 0.6702
0.5000 0.5000 0.3298
0.0000 0.0000 0.5000
0.0000 0.0000 0.0000

=====

| no. | magnetization (μB per cell) |
| --- | --- |
| 1 | 0.00 |
| 2 | 0.44 |